Here is an optimized crystal structure of CaTiTc2Sb from the Alexandria database. Energies are from PBE.

The space group is P4/mmm (No. 123) and the conventional cell measures 4.720, 4.720 and 4.696 Å, with angles of 90.00, 90.00 and 90.00 degrees. Symmetry generates all atoms from Ca at (0.000, 0.000, 0.000), Ti at (0.000, 0.000, 0.500), Tc at (0.000, 0.500, 0.000) and Sb at (0.500, 0.500, 0.500).

Its mass density is 6.4 g/cm3. The value obtained for the energy relative to the elements, uncorrected is 1.931 eV per atom. The magnetization is 2.04 μB per formula unit. Its density of states at the Fermi level is 1.43 states/eV per atom.